1.
AsP2Ir, relaxed, DFT PBE-GGA; N(E_F) = 1.56 states/eV/cell; calculated volume = 71.6 Å³ per cell; ΔE_f = 0.0 eV/f.u.; crystal system = monoclinic
1.0
-2.1729 -0.0841 3.7117
-3.7741 -1.8259 0.9633
1.2840 -4.6204 2.1801
As Ir P
1 1 2
Direct
0.4111 0.4111 0.5221
0.7936 0.7936 0.8726
0.0874 0.0874 0.8870
0.2079 0.2079 0.2183



2.
AlAu2Se, relaxed, DFT PBE-GGA; N(E_F) = 1.13 states/eV/cell; calculated volume = 74.8 Å³ per cell; E_form (uncorrected) = -0.126 eV/atom; crystal system = orthorhombic
1.0
3.1647 0.0000 0.0000
0.0000 2.8826 -0.0074
0.0000 0.0213 8.2026
Au Al Se
2 1 1
Direct
0.0000 0.2500 0.9560
0.0000 0.2500 0.5440
0.5000 0.7500 0.7500
0.5000 0.2500 0.2500